# 1
A geometry-optimized GdBe4 structure. Source: the Open Quantum Materials Database, functional GGA-PBE.

## Properties
The value obtained for the total energy is -3.61 eV/atom.

```
GdBe4
1.0
3.130 0.000 0.000
0.000 3.130 0.000
0.000 0.000 13.450
Be Gd
8 2
Direct
0.000 0.000 0.000
0.500 0.500 0.000
0.000 0.000 0.385
0.500 0.500 0.385
0.000 0.500 0.498
0.500 0.000 0.502
0.000 0.000 0.615
0.500 0.500 0.615
0.000 0.500 0.193
0.500 0.000 0.807
```



# 2
A geometry-optimized Gd3Be3Ge2 structure. Source: the Open Quantum Materials Database, functional GGA-PBE.

## Properties
The value obtained for the total energy is -4.08 eV/atom.

```
Gd3Be3Ge2
1.0
4.282 0.000 0.000
0.000 4.282 0.000
0.000 0.000 9.497
Be Gd Ge
3 3 2
Direct
0.000 0.000 0.294
0.000 0.000 0.500
0.000 0.000 0.706
0.000 0.000 0.000
0.500 0.500 0.000
0.500 0.500 0.500
0.000 0.500 0.224
0.500 0.000 0.776
```



# 3
A geometry-optimized GdBeGe structure. Source: the Open Quantum Materials Database, functional GGA-PBE.

## Properties
The value obtained for the total energy is -5.01 eV/atom.

```
GdBeGe
1.0
-0.103 3.855 0.821
-1.472 -2.603 2.570
3.680 -0.289 1.816
Be Gd Ge
1 1 1
Direct
0.000 0.000 0.833
0.667 0.333 0.333
0.333 0.667 0.834
```